## Pm6Pb3N (PBE-GGA)

Data for a geometry-optimized Pm6Pb3N structure.

Cell: 12.2152 15.1306 7.3009 Å, 90.00 90.00 90.00°
Space group Cmc2_1 (No. 36)
Unique sites:
Pm 0.0000 0.0521 0.0000 (multiplicity 4)
Pm 0.0000 0.2245 0.4136 (multiplicity 4)
Pm 0.1519 0.2590 0.9652 (multiplicity 8)
Pm 0.1595 0.4740 0.4280 (multiplicity 8)
Pb 0.0000 0.3830 0.7193 (multiplicity 4)
Pb 0.1718 0.1059 0.6515 (multiplicity 8)
N 0.0000 0.1967 0.1034 (multiplicity 4)

- total moment (μB/f.u.) = 1.271
- DFT total energy (Ry per atom) = -0.391
- crystal system = orthorhombic